1.
{"formula": "KPBr2", "functional": "GGA-PBE", "state": "relaxed", "density_g_cm3": 2.40, "formation_energy_uncorrected_kcal_per_mol_atoms": -7.25, "relative_energy_mev_per_atom": 153.7, "spacegroup": "Pmm2, No. 25", "total_magnetization_mub_per_cell": 2.0, "lattice_angstrom": [[5.051, 0.000, 0.000], [0.000, 5.071, 0.000], [0.000, 0.000, 6.214]], "species": ["K", "P", "Br", "Br"], "fractional_positions": [[0.000, 0.000, 0.000], [0.500, 0.500, 0.351], [0.000, 0.000, 0.500], [0.500, 0.500, 0.983]]}

2.
{"formula": "KP2Br", "functional": "GGA-PBE", "state": "relaxed", "density_g_cm3": 3.10, "formation_energy_uncorrected_kcal_per_mol_atoms": 20.44, "relative_energy_mev_per_atom": 1330.3, "spacegroup": "Fm-3m, No. 225", "total_magnetization_mub_per_cell": 0.0, "lattice_angstrom": [[7.291, 0.000, 0.000], [0.000, 7.291, 0.000], [0.000, 0.000, 7.291]], "species": ["K", "K", "K", "K", "P", "P", "P", "P", "P", "P", "P", "P", "Br", "Br", "Br", "Br"], "fractional_positions": [[0.000, 0.000, 0.000], [0.000, 0.500, 0.500], [0.500, 0.000, 0.500], [0.500, 0.500, 0.000], [0.250, 0.250, 0.250], [0.250, 0.250, 0.750], [0.250, 0.750, 0.250], [0.250, 0.750, 0.750], [0.750, 0.250, 0.250], [0.750, 0.250, 0.750], [0.750, 0.750, 0.250], [0.750, 0.750, 0.750], [0.000, 0.000, 0.500], [0.000, 0.500, 0.000], [0.500, 0.000, 0.000], [0.500, 0.500, 0.500]]}

3.
{"formula": "KP2Br", "functional": "GGA-PBE", "state": "relaxed", "density_g_cm3": 2.89, "formation_energy_uncorrected_kcal_per_mol_atoms": -4.81, "relative_energy_mev_per_atom": 235.5, "spacegroup": "P4mm, No. 99", "total_magnetization_mub_per_cell": 0.0, "lattice_angstrom": [[3.404, 0.000, 0.000], [0.000, 3.404, 0.000], [0.000, 0.000, 8.982]], "species": ["K", "P", "P", "Br"], "fractional_positions": [[0.000, 0.000, 0.000], [0.000, 0.000, 0.370], [0.500, 0.500, 0.334], [0.500, 0.500, 0.782]]}

4.
{"formula": "KPBr2", "functional": "GGA-PBE", "state": "relaxed", "density_g_cm3": 3.14, "formation_energy_uncorrected_kcal_per_mol_atoms": 3.67, "relative_energy_mev_per_atom": 627.3, "spacegroup": "F-43m, No. 216", "total_magnetization_mub_per_cell": 7.9, "lattice_angstrom": [[7.861, 0.000, 0.000], [0.000, 7.861, 0.000], [0.000, 0.000, 7.861]], "species": ["K", "K", "K", "K", "P", "P", "P", "P", "Br", "Br", "Br", "Br", "Br", "Br", "Br", "Br"], "fractional_positions": [[0.000, 0.000, 0.000], [0.000, 0.500, 0.500], [0.500, 0.000, 0.500], [0.500, 0.500, 0.000], [0.250, 0.250, 0.250], [0.250, 0.750, 0.750], [0.750, 0.250, 0.750], [0.750, 0.750, 0.250], [0.000, 0.000, 0.500], [0.000, 0.500, 0.000], [0.250, 0.250, 0.750], [0.250, 0.750, 0.250], [0.500, 0.000, 0.000], [0.500, 0.500, 0.500], [0.750, 0.250, 0.250], [0.750, 0.750, 0.750]]}

5.
{"formula": "KP2Br", "functional": "GGA-PBE", "state": "relaxed", "density_g_cm3": 2.33, "formation_energy_uncorrected_kcal_per_mol_atoms": -9.57, "relative_energy_mev_per_atom": 29.3, "spacegroup": "Cm, No. 8", "total_magnetization_mub_per_cell": 0.0, "lattice_angstrom": [[9.526, 0.000, 0.000], [0.000, 3.305, 0.000], [-4.465, 0.000, 8.186]], "species": ["K", "K", "P", "P", "P", "P", "Br", "Br"], "fractional_positions": [[0.000, 0.000, 0.000], [0.500, 0.500, 0.000], [0.072, 0.500, 0.710], [0.135, 0.000, 0.604], [0.572, 0.000, 0.710], [0.635, 0.500, 0.604], [0.318, 0.500, 0.202], [0.818, 0.000, 0.202]]}

6.
{"formula": "KPBr2", "functional": "GGA-PBE", "state": "relaxed", "density_g_cm3": 2.86, "formation_energy_uncorrected_kcal_per_mol_atoms": -4.92, "relative_energy_mev_per_atom": 254.7, "spacegroup": "I-4m2, No. 119", "total_magnetization_mub_per_cell": 2.9, "lattice_angstrom": [[4.215, 0.000, 0.000], [0.000, 4.215, 0.000], [0.000, 0.000, 15.034]], "species": ["K", "K", "P", "P", "Br", "Br", "Br", "Br"], "fractional_positions": [[0.000, 0.000, 0.000], [0.500, 0.500, 0.500], [0.000, 0.500, 0.750], [0.500, 0.000, 0.250], [0.000, 0.000, 0.500], [0.000, 0.500, 0.250], [0.500, 0.000, 0.750], [0.500, 0.500, 0.000]]}

7.
{"formula": "KP2Br", "functional": "GGA-PBE", "state": "relaxed", "density_g_cm3": 2.44, "formation_energy_uncorrected_kcal_per_mol_atoms": 3.89, "relative_energy_mev_per_atom": 612.9, "spacegroup": "I4/mmm, No. 139", "total_magnetization_mub_per_cell": 0.0, "lattice_angstrom": [[3.927, 0.000, 0.000], [0.000, 3.927, 0.000], [0.000, 0.000, 15.997]], "species": ["K", "K", "P", "P", "P", "P", "Br", "Br"], "fractional_positions": [[0.000, 0.000, 0.000], [0.500, 0.500, 0.500], [0.000, 0.500, 0.250], [0.000, 0.500, 0.750], [0.500, 0.000, 0.250], [0.500, 0.000, 0.750], [0.000, 0.000, 0.500], [0.500, 0.500, 0.000]]}

8.
{"formula": "KP2Br", "functional": "GGA-PBE", "state": "relaxed", "density_g_cm3": 2.48, "formation_energy_uncorrected_kcal_per_mol_atoms": -9.80, "relative_energy_mev_per_atom": 19.0, "spacegroup": "C2/m, No. 12", "total_magnetization_mub_per_cell": 0.0, "lattice_angstrom": [[14.200, 0.000, 0.000], [0.000, 3.422, 0.000], [-1.901, 0.000, 4.977]], "species": ["K", "K", "P", "P", "P", "P", "Br", "Br"], "fractional_positions": [[0.000, 0.000, 0.000], [0.500, 0.500, 0.000], [0.238, 0.500, 0.615], [0.262, 0.000, 0.385], [0.738, 0.000, 0.615], [0.762, 0.500, 0.385], [0.000, 0.500, 0.500], [0.500, 0.000, 0.500]]}

9.
{"formula": "KP2Br", "functional": "GGA-PBE", "state": "relaxed", "density_g_cm3": 2.86, "formation_energy_uncorrected_kcal_per_mol_atoms": 16.73, "relative_energy_mev_per_atom": 1169.6, "spacegroup": "R-3m, No. 166", "total_magnetization_mub_per_cell": 0.0, "lattice_angstrom": [[3.946, 0.000, 0.000], [-1.973, 3.417, 0.000], [0.000, 0.000, 23.360]], "species": ["K", "K", "K", "P", "P", "P", "P", "P", "P", "Br", "Br", "Br"], "fractional_positions": [[0.000, 0.000, 0.000], [0.333, 0.667, 0.667], [0.667, 0.333, 0.333], [0.000, 0.000, 0.228], [0.000, 0.000, 0.772], [0.333, 0.667, 0.439], [0.333, 0.667, 0.895], [0.667, 0.333, 0.105], [0.667, 0.333, 0.561], [0.000, 0.000, 0.500], [0.333, 0.667, 0.167], [0.667, 0.333, 0.833]]}

10.
{"formula": "KPBr", "functional": "GGA-PBE", "state": "relaxed", "density_g_cm3": 2.41, "formation_energy_uncorrected_kcal_per_mol_atoms": 1.86, "relative_energy_mev_per_atom": 270.5, "spacegroup": "I4mm, No. 107", "total_magnetization_mub_per_cell": 6.0, "lattice_angstrom": [[4.474, 0.000, 0.000], [0.000, 4.474, 0.000], [0.000, 0.000, 10.303]], "species": ["K", "K", "P", "P", "Br", "Br"], "fractional_positions": [[0.000, 0.000, 0.000], [0.500, 0.500, 0.500], [0.000, 0.000, 0.676], [0.500, 0.500, 0.176], [0.000, 0.000, 0.351], [0.500, 0.500, 0.851]]}

11.
{"formula": "KP2Br", "functional": "GGA-PBE", "state": "relaxed", "density_g_cm3": 3.19, "formation_energy_uncorrected_kcal_per_mol_atoms": 16.36, "relative_energy_mev_per_atom": 1153.4, "spacegroup": "Cmmm, No. 65", "total_magnetization_mub_per_cell": 0.0, "lattice_angstrom": [[3.780, 0.000, 0.000], [0.000, 5.603, 0.000], [0.000, 0.000, 8.902]], "species": ["K", "K", "P", "P", "P", "P", "Br", "Br"], "fractional_positions": [[0.000, 0.000, 0.000], [0.500, 0.500, 0.000], [0.000, 0.500, 0.286], [0.000, 0.500, 0.714], [0.500, 0.000, 0.286], [0.500, 0.000, 0.714], [0.000, 0.000, 0.500], [0.500, 0.500, 0.500]]}

12.
{"formula": "KPBr", "functional": "GGA-PBE", "state": "relaxed", "density_g_cm3": 2.46, "formation_energy_uncorrected_kcal_per_mol_atoms": -4.38, "relative_energy_mev_per_atom": 0.0, "spacegroup": "Imm2, No. 44", "total_magnetization_mub_per_cell": 0.0, "lattice_angstrom": [[3.519, 0.000, 0.000], [0.000, 5.324, 0.000], [0.000, 0.000, 10.809]], "species": ["K", "K", "P", "P", "Br", "Br"], "fractional_positions": [[0.000, 0.000, 0.000], [0.500, 0.500, 0.500], [0.000, 0.000, 0.579], [0.500, 0.500, 0.079], [0.000, 0.000, 0.366], [0.500, 0.500, 0.866]]}

13.
{"formula": "KPBr2", "functional": "GGA-PBE", "state": "relaxed", "density_g_cm3": 3.32, "formation_energy_uncorrected_kcal_per_mol_atoms": -1.84, "relative_energy_mev_per_atom": 388.3, "spacegroup": "Fm-3m, No. 225", "total_magnetization_mub_per_cell": 8.0, "lattice_angstrom": [[7.721, 0.000, 0.000], [0.000, 7.721, 0.000], [0.000, 0.000, 7.721]], "species": ["K", "K", "K", "K", "P", "P", "P", "P", "Br", "Br", "Br", "Br", "Br", "Br", "Br", "Br"], "fractional_positions": [[0.000, 0.000, 0.000], [0.000, 0.500, 0.500], [0.500, 0.000, 0.500], [0.500, 0.500, 0.000], [0.000, 0.000, 0.500], [0.000, 0.500, 0.000], [0.500, 0.000, 0.000], [0.500, 0.500, 0.500], [0.250, 0.250, 0.250], [0.250, 0.250, 0.750], [0.250, 0.750, 0.250], [0.250, 0.750, 0.750], [0.750, 0.250, 0.250], [0.750, 0.250, 0.750], [0.750, 0.750, 0.250], [0.750, 0.750, 0.750]]}

14.
{"formula": "KPBr6", "functional": "GGA-PBE", "state": "relaxed", "density_g_cm3": 3.30, "formation_energy_uncorrected_kcal_per_mol_atoms": -11.96, "spacegroup": "P-1, No. 2", "total_magnetization_mub_per_cell": 0.0, "lattice_angstrom": [[6.787, 0.000, 0.000], [-2.526, 6.453, 0.000], [-0.832, -3.068, 6.310]], "species": ["K", "P", "Br", "Br", "Br", "Br", "Br", "Br"], "fractional_positions": [[0.000, 0.000, 0.000], [0.500, 0.000, 0.500], [0.158, 0.697, 0.235], [0.300, 0.191, 0.674], [0.451, 0.786, 0.703], [0.549, 0.214, 0.297], [0.700, 0.809, 0.326], [0.842, 0.303, 0.765]]}